No. 1
# Pr2HfZn | Alexandria via LeMat-Bulk | GGA-PBE | relaxed
# Total energy = -0.3541 Ry/atom
# DOS(E_F) = 5.2 states/eV/f.u.
# DFT formation energy = 379.3 meV/atom
# Relative energy among the computed polymorphs = 371 meV per atom
data_Pr2HfZn
_chemical_formula_sum 'Pr6 Hf3 Zn3'
_symmetry_space_group_name_H-M 'P 1'
_symmetry_Int_Tables_number 1
_cell_length_a 3.3154
_cell_length_b 3.3154
_cell_length_c 34.7362
_cell_angle_alpha 90.00
_cell_angle_beta 90.00
_cell_angle_gamma 120.00
loop_
_symmetry_equiv_pos_as_xyz
'x,y,z'
loop_
_atom_site_label
_atom_site_fract_x
_atom_site_fract_y
_atom_site_fract_z
_atom_site_occupancy
Pr1 0.0000 0.0000 0.0934 1
Pr2 0.0000 0.0000 0.9066 1
Pr3 0.3333 0.6667 0.5733 1
Pr4 0.3333 0.6667 0.7600 1
Pr5 0.6667 0.3333 0.2400 1
Pr6 0.6667 0.3333 0.4267 1
Hf1 0.0000 0.0000 0.0000 1
Hf2 0.3333 0.6667 0.6667 1
Hf3 0.6667 0.3333 0.3333 1
Zn1 0.0000 0.0000 0.5000 1
Zn2 0.3333 0.6667 0.1667 1
Zn3 0.6667 0.3333 0.8333 1

***

No. 2
# GaIrSF2 | Alexandria via LeMat-Bulk | GGA-PBE | relaxed
# Formation energy (no corrections) = -0.4354 eV per atom
# Total energy = -0.3224 Ry/atom
# DOS(E_F) = 2.5 states/eV/f.u.
data_GaIrSF2
_chemical_formula_sum 'Ga1 Ir1 S1 F2'
_symmetry_space_group_name_H-M 'P 1'
_symmetry_Int_Tables_number 1
_cell_length_a 3.9124
_cell_length_b 3.9124
_cell_length_c 5.3647
_cell_angle_alpha 90.00
_cell_angle_beta 90.00
_cell_angle_gamma 90.00
loop_
_symmetry_equiv_pos_as_xyz
'x,y,z'
loop_
_atom_site_label
_atom_site_fract_x
_atom_site_fract_y
_atom_site_fract_z
_atom_site_occupancy
Ga1 0.0000 0.0000 0.0000 1
Ir1 0.0000 0.0000 0.5000 1
S1 0.5000 0.5000 0.0000 1
F1 0.0000 0.5000 0.5000 1
F2 0.5000 0.0000 0.5000 1

***

No. 3
# La3Ho3Tm4 | Alexandria via LeMat-Bulk | GGA-PBE | relaxed
# Total energy = -0.3348 Ry/atom
# DOS(E_F) = 12.9 states/eV/f.u.
# DFT formation energy = 84.7 meV/atom
data_La3Ho3Tm4
_chemical_formula_sum 'La3 Ho3 Tm4'
_symmetry_space_group_name_H-M 'P 1'
_symmetry_Int_Tables_number 1
_cell_length_a 3.6708
_cell_length_b 9.5482
_cell_length_c 9.5482
_cell_angle_alpha 89.96
_cell_angle_beta 90.00
_cell_angle_gamma 90.00
loop_
_symmetry_equiv_pos_as_xyz
'x,y,z'
loop_
_atom_site_label
_atom_site_fract_x
_atom_site_fract_y
_atom_site_fract_z
_atom_site_occupancy
La1 0.0000 0.0000 0.0000 1
La2 0.5000 0.3320 0.8228 1
La3 0.5000 0.8228 0.3320 1
Ho1 0.0000 0.1542 0.4996 1
Ho2 0.0000 0.4996 0.1542 1
Ho3 0.0000 0.6505 0.6505 1
Tm1 0.5000 0.2075 0.2075 1
Tm2 0.5000 0.4487 0.4487 1
Tm3 0.5000 0.6975 0.9434 1
Tm4 0.5000 0.9434 0.6975 1

***

No. 4
# Zr2PtW | Alexandria via LeMat-Bulk | GGA-PBE | relaxed
# Total energy = -0.6581 Ry/atom
# DOS(E_F) = 5.4 states/eV/f.u.
# DFT formation energy = 68.1 meV/atom
data_Zr2PtW
_chemical_formula_sum 'Zr6 Pt3 W3'
_symmetry_space_group_name_H-M 'P 1'
_symmetry_Int_Tables_number 1
_cell_length_a 3.0562
_cell_length_b 3.0562
_cell_length_c 28.5583
_cell_angle_alpha 90.00
_cell_angle_beta 90.00
_cell_angle_gamma 120.00
loop_
_symmetry_equiv_pos_as_xyz
'x,y,z'
loop_
_atom_site_label
_atom_site_fract_x
_atom_site_fract_y
_atom_site_fract_z
_atom_site_occupancy
Zr1 0.0000 0.0000 0.0000 1
Zr2 0.0000 0.0000 0.2414 1
Zr3 0.3333 0.6667 0.6667 1
Zr4 0.3333 0.6667 0.9080 1
Zr5 0.6667 0.3333 0.3333 1
Zr6 0.6667 0.3333 0.5747 1
Pt1 0.0000 0.0000 0.7497 1
Pt2 0.3333 0.6667 0.4164 1
Pt3 0.6667 0.3333 0.0831 1
W1 0.0000 0.0000 0.4894 1
W2 0.3333 0.6667 0.1561 1
W3 0.6667 0.3333 0.8228 1

***

No. 5
# AlGa4Fe | Alexandria via LeMat-Bulk | GGA-PBE | relaxed
# Total energy = -0.2995 Ry/atom
# DOS(E_F) = 2.3 states/eV/f.u.
# DFT formation energy = -22.2 meV/atom
# Relative energy among the computed polymorphs = 96 meV per atom
data_AlGa4Fe
_chemical_formula_sum 'Al2 Ga8 Fe2'
_symmetry_space_group_name_H-M 'P 1'
_symmetry_Int_Tables_number 1
_cell_length_a 5.3129
_cell_length_b 5.5989
_cell_length_c 6.6707
_cell_angle_alpha 90.00
_cell_angle_beta 90.00
_cell_angle_gamma 90.00
loop_
_symmetry_equiv_pos_as_xyz
'x,y,z'
loop_
_atom_site_label
_atom_site_fract_x
_atom_site_fract_y
_atom_site_fract_z
_atom_site_occupancy
Al1 0.0000 0.0000 0.0000 1
Al2 0.5000 0.5000 0.0000 1
Ga1 0.2436 0.2451 0.2886 1
Ga2 0.2436 0.2451 0.7114 1
Ga3 0.2436 0.7549 0.2886 1
Ga4 0.2436 0.7549 0.7114 1
Ga5 0.7564 0.2451 0.2886 1
Ga6 0.7564 0.2451 0.7114 1
Ga7 0.7564 0.7549 0.2886 1
Ga8 0.7564 0.7549 0.7114 1
Fe1 0.5000 0.0000 0.0000 1
Fe2 0.5000 0.5000 0.5000 1

***

No. 6
# Pm3ErHg | Alexandria via LeMat-Bulk | GGA-PBE | relaxed
# Total energy = -0.2882 Ry/atom
# DOS(E_F) = 5.0 states/eV/f.u.
# DFT formation energy = -97.3 meV/atom
# Relative energy among the computed polymorphs = 0 meV per atom
data_Pm3ErHg
_chemical_formula_sum 'Pm6 Er2 Hg2'
_symmetry_space_group_name_H-M 'P 1'
_symmetry_Int_Tables_number 1
_cell_length_a 6.8429
_cell_length_b 6.8429
_cell_length_c 8.0463
_cell_angle_alpha 107.69
_cell_angle_beta 107.69
_cell_angle_gamma 67.01
loop_
_symmetry_equiv_pos_as_xyz
'x,y,z'
loop_
_atom_site_label
_atom_site_fract_x
_atom_site_fract_y
_atom_site_fract_z
_atom_site_occupancy
Pm1 0.0533 0.0533 0.2344 1
Pm2 0.0904 0.5849 0.3556 1
Pm3 0.4151 0.9096 0.6444 1
Pm4 0.5849 0.0904 0.3556 1
Pm5 0.9096 0.4151 0.6444 1
Pm6 0.9467 0.9467 0.7656 1
Er1 0.4401 0.4401 0.7586 1
Er2 0.5599 0.5599 0.2414 1
Hg1 0.2629 0.2629 0.9992 1
Hg2 0.7371 0.7371 0.0008 1

***

No. 7
# YV3Ag | Alexandria via LeMat-Bulk | GGA-PBE | relaxed
# Total energy = -0.3915 Ry/atom
# DOS(E_F) = 7.8 states/eV/f.u.
# DFT formation energy = 2008.1 meV/atom
# Relative energy among the computed polymorphs = 700 meV per atom
data_YV3Ag
_chemical_formula_sum 'Y1 V3 Ag1'
_symmetry_space_group_name_H-M 'P 1'
_symmetry_Int_Tables_number 1
_cell_length_a 4.7630
_cell_length_b 4.7630
_cell_length_c 4.7630
_cell_angle_alpha 90.00
_cell_angle_beta 90.00
_cell_angle_gamma 90.00
loop_
_symmetry_equiv_pos_as_xyz
'x,y,z'
loop_
_atom_site_label
_atom_site_fract_x
_atom_site_fract_y
_atom_site_fract_z
_atom_site_occupancy
Y1 0.0000 0.0000 0.0000 1
V1 0.0000 0.0000 0.5000 1
V2 0.0000 0.5000 0.0000 1
V3 0.5000 0.0000 0.0000 1
Ag1 0.5000 0.5000 0.5000 1

***

No. 8
# Mg2Be2Ni | Alexandria via LeMat-Bulk | GGA-PBE | relaxed
# Total energy = -0.2325 Ry/atom
# DOS(E_F) = 1.9 states/eV/f.u.
# DFT formation energy = 121.3 meV/atom
data_Mg2Be2Ni
_chemical_formula_sum 'Mg4 Be4 Ni2'
_symmetry_space_group_name_H-M 'P 1'
_symmetry_Int_Tables_number 1
_cell_length_a 5.7758
_cell_length_b 5.7758
_cell_length_c 4.0902
_cell_angle_alpha 90.00
_cell_angle_beta 90.00
_cell_angle_gamma 90.00
loop_
_symmetry_equiv_pos_as_xyz
'x,y,z'
loop_
_atom_site_label
_atom_site_fract_x
_atom_site_fract_y
_atom_site_fract_z
_atom_site_occupancy
Mg1 0.1781 0.3219 0.0000 1
Mg2 0.3219 0.8219 0.0000 1
Mg3 0.6781 0.1781 0.0000 1
Mg4 0.8219 0.6781 0.0000 1
Be1 0.1364 0.6364 0.5000 1
Be2 0.3636 0.1364 0.5000 1
Be3 0.6364 0.8636 0.5000 1
Be4 0.8636 0.3636 0.5000 1
Ni1 0.0000 0.0000 0.5000 1
Ni2 0.5000 0.5000 0.5000 1